This record from Alexandria describes crystalline LiErVO4 at its relaxed geometry. The functional is PBE with a Hubbard U.

- calculated total energy (eV for the cell shown) = -102.93
- total magnetization (μB/f.u.) = 1.0

a b c (Å): 6.1573 6.1573 6.1573
angles (deg): 120.03 113.23 96.03
Fractional positions:
Li 0.5000 0.0000 0.0000
Li 0.5000 0.5000 0.5000
Er 0.0000 0.0000 0.0000
Er 0.5000 0.0000 0.5000
V 0.1345 0.3845 0.7500
V 0.8655 0.6155 0.2500
O 0.2048 0.7266 0.4782
O 0.2515 0.2734 0.9782
O 0.2592 0.2479 0.4887
O 0.2592 0.7706 0.0113
O 0.7408 0.2294 0.9887
O 0.7408 0.7521 0.5113
O 0.7485 0.7266 0.0218
O 0.7952 0.2734 0.5218